InRuCl2 | PBE | relaxed

```
InRuCl2
1.0
3.1924 0.0000 0.0000
0.0000 4.4628 0.0000
0.0000 0.0000 5.6516
In Ru Cl
1 1 2
Direct
0.0000 0.0000 0.0000
0.5000 0.0000 0.5000
0.0000 0.5000 0.5000
0.5000 0.5000 0.0000
```

Values from the calculation:
D(E_F): 4.54 states/eV/cell
Crystal system: orthorhombic
ΔE_f (raw): 0.2914 eV per atom
V: 20.1 Å³ per atom
Excess energy over the best structure of this formula in the dataset: 531.7 meV per atom